Record 1
Entry from the Alexandria database: an optimized crystal structure of Al4GaRh (PBE).

Results
- calculated total energy (eV/atom) = -4.524
- calculated volume (Å³/f.u.) = 101
- ΔH_f (0 K) (eV/atom) = -0.299

Cell lengths 6.5634, 6.5634, 5.4066 Å; angles 103.31, 103.31, 108.87 degrees
Sites, in units of the cell vectors:
Al1 0.0596 0.6955 0.9209
Al2 0.1884 0.3790 0.6442
Al3 0.3045 0.9404 0.5791
Al4 0.3790 0.1884 0.1442
Al5 0.6210 0.8116 0.8558
Al6 0.6955 0.0596 0.4209
Al7 0.8116 0.6210 0.3558
Al8 0.9404 0.3045 0.0791
Ga1 0.3827 0.6173 0.2500
Ga2 0.6173 0.3827 0.7500
Rh1 0.0025 0.9975 0.2500
Rh2 0.9975 0.0025 0.7500

Record 2
Entry from the Alexandria database: an optimized crystal structure of LiNi5Rh4 (PBE).

Results
- calculated total energy (eV/atom) = -5.963
- calculated volume (Å³/f.u.) = 129
- ΔH_f (0 K) (eV/atom) = 0.060

Cell lengths 7.9226, 7.9226, 6.2607 Å; angles 99.03, 99.03, 19.43 degrees
Sites, in units of the cell vectors:
Li1 0.0000 0.0000 0.0000
Ni1 0.0000 0.0000 0.5000
Ni2 0.2179 0.2179 0.6404
Ni3 0.4031 0.4031 0.2495
Ni4 0.5969 0.5969 0.7505
Ni5 0.7821 0.7821 0.3596
Rh1 0.1817 0.1817 0.0513
Rh2 0.3863 0.3863 0.6544
Rh3 0.6137 0.6137 0.3456
Rh4 0.8183 0.8183 0.9487

Record 3
Entry from the Alexandria database: an optimized crystal structure of Sc3AlN (PBE).

Results
- formation energy from raw total energies (eV per atom) = -0.37
- calculated total energy (eV/atom) = -6.586
- calculated volume (Å³/f.u.) = 111

Cell lengths 5.3268, 5.3268, 5.3268 Å; angles 110.66, 110.66, 110.66 degrees
Sites, in units of the cell vectors:
Sc1 0.2114 0.2114 0.5773
Sc2 0.2114 0.5773 0.2114
Sc3 0.5773 0.2114 0.2114
Al1 0.8714 0.8714 0.8714
N1 0.4995 0.4995 0.4995

Record 4
Entry from the Alexandria database: an optimized crystal structure of SmAgPd2 (PBE).

Results
- calculated total energy (eV/atom) = -5.096
- calculated volume (Å³/f.u.) = 76
- ΔH_f (0 K) (eV/atom) = -0.607

Cell lengths 4.3793, 4.3793, 3.9636 Å; angles 90.00, 90.00, 90.00 degrees
Sites, in units of the cell vectors:
Sm1 0.0000 0.0000 0.0000
Ag1 0.5000 0.5000 0.0000
Pd1 0.0000 0.5000 0.5000
Pd2 0.5000 0.0000 0.5000

Record 5
Entry from the Alexandria database: an optimized crystal structure of PmGdMgBe (PBE).

Results
- calculated total energy (eV/atom) = -5.938
- calculated volume (Å³/f.u.) = 98
- ΔH_f (0 K) (eV/atom) = 0.100

Cell lengths 5.1745, 5.1745, 5.1745 Å; angles 60.00, 60.00, 60.00 degrees
Sites, in units of the cell vectors:
Pm1 0.0000 0.0000 0.0000
Gd1 0.5000 0.5000 0.5000
Mg1 0.2500 0.2500 0.2500
Be1 0.7500 0.7500 0.7500

Record 6
Entry from the Alexandria database: an optimized crystal structure of LaReBr2 (PBE).

Results
- formation energy from raw total energies (eV per atom) = 0.27
- calculated total energy (eV/atom) = -4.910
- calculated volume (Å³/f.u.) = 95

Cell lengths 6.0417, 6.0417, 6.0417 Å; angles 138.71, 138.71, 59.82 degrees
Sites, in units of the cell vectors:
La1 0.0000 0.0000 0.0000
Re1 0.2500 0.7500 0.5000
Br1 0.5000 0.5000 0.0000
Br2 0.7500 0.2500 0.5000

Record 7
Entry from the Alexandria database: an optimized crystal structure of In8Ag2Sn (PBE).

Results
- calculated total energy (eV/atom) = -2.837
- calculated volume (Å³/f.u.) = 284
- ΔH_f (0 K) (eV/atom) = 0.037

Cell lengths 3.3923, 7.7341, 11.1315 Å; angles 79.70, 82.19, 84.97 degrees
Sites, in units of the cell vectors:
In1 0.0000 0.0000 0.0000
In2 0.0265 0.3902 0.1058
In3 0.3061 0.2978 0.4989
In4 0.3336 0.6876 0.6048
In5 0.4290 0.0520 0.2510
In6 0.5765 0.6633 0.8800
In7 0.7566 0.0252 0.7245
In8 0.9042 0.6361 0.3536
Ag1 0.4877 0.7113 0.1356
Ag2 0.8456 0.9766 0.4690
Sn1 0.1663 0.3440 0.8028

Record 8
Entry from the Alexandria database: an optimized crystal structure of DyPu2Au4 (PBE).

Results
- calculated total energy (eV/atom) = -7.046
- calculated volume (Å³/f.u.) = 176
- ΔH_f (0 K) (eV/atom) = -0.421

Cell lengths 7.8403, 7.8403, 7.8403 Å; angles 142.73, 142.73, 53.72 degrees
Sites, in units of the cell vectors:
Dy1 0.0000 0.0000 0.0000
Pu1 0.2626 0.2626 0.0000
Pu2 0.7374 0.7374 0.0000
Au1 0.1135 0.6135 0.5000
Au2 0.3865 0.8865 0.5000
Au3 0.6135 0.1135 0.5000
Au4 0.8865 0.3865 0.5000

Record 9
Entry from the Alexandria database: an optimized crystal structure of Er12ScIn6 (PBE).

Results
- calculated total energy (eV/atom) = -4.283
- calculated volume (Å³/f.u.) = 527
- ΔH_f (0 K) (eV/atom) = -0.203

Cell lengths 8.0780, 8.0780, 8.0780 Å; angles 88.85, 88.85, 88.85 degrees
Sites, in units of the cell vectors:
Er1 0.0284 0.9421 0.3029
Er2 0.0579 0.6971 0.9716
Er3 0.1288 0.4600 0.3533
Er4 0.3029 0.0284 0.9421
Er5 0.3533 0.1288 0.4600
Er6 0.4600 0.3533 0.1288
Er7 0.5400 0.6467 0.8712
Er8 0.6467 0.8712 0.5400
Er9 0.6971 0.9716 0.0579
Er10 0.8712 0.5400 0.6467
Er11 0.9421 0.3029 0.0284
Er12 0.9716 0.0579 0.6971
Sc1 0.5000 0.5000 0.5000
In1 0.2244 0.3803 0.7573
In2 0.2427 0.7756 0.6197
In3 0.3803 0.7573 0.2244
In4 0.6197 0.2427 0.7756
In5 0.7573 0.2244 0.3803
In6 0.7756 0.6197 0.2427

Record 10
Entry from the Alexandria database: an optimized crystal structure of LiY2ErIn4 (PBE).

Results
- calculated total energy (eV/atom) = -4.224
- calculated volume (Å³/f.u.) = 202
- ΔH_f (0 K) (eV/atom) = -0.429

Cell lengths 9.1599, 9.1599, 9.1599 Å; angles 32.95, 32.95, 32.95 degrees
Sites, in units of the cell vectors:
Li1 0.0000 0.0000 0.0000
Y1 0.2538 0.2538 0.2538
Y2 0.7462 0.7462 0.7462
Er1 0.5000 0.5000 0.5000
In1 0.1234 0.1234 0.1234
In2 0.3739 0.3739 0.3739
In3 0.6261 0.6261 0.6261
In4 0.8766 0.8766 0.8766

Record 11
Entry from the Alexandria database: an optimized crystal structure of CoRe2Pd2 (PBE).

Results
- calculated total energy (eV/atom) = -7.703
- calculated volume (Å³/f.u.) = 77
- ΔH_f (0 K) (eV/atom) = 0.774

Cell lengths 7.5289, 7.5289, 2.7102 Å; angles 90.00, 90.00, 90.00 degrees
Sites, in units of the cell vectors:
Co1 0.0000 0.0000 0.0000
Co2 0.5000 0.5000 0.0000
Re1 0.1764 0.3236 0.5000
Re2 0.3236 0.8236 0.5000
Re3 0.6764 0.1764 0.5000
Re4 0.8236 0.6764 0.5000
Pd1 0.1222 0.6222 0.0000
Pd2 0.3778 0.1222 0.0000
Pd3 0.6222 0.8778 0.0000
Pd4 0.8778 0.3778 0.0000

Record 12
Entry from the Alexandria database: an optimized crystal structure of LaTe2F (PBE).

Results
- formation energy from raw total energies (eV per atom) = -1.40
- calculated total energy (eV/atom) = -4.668
- calculated volume (Å³/f.u.) = 109

Cell lengths 11.9200, 11.9200, 11.9200 Å; angles 158.92, 158.92, 29.98 degrees
Sites, in units of the cell vectors:
La1 0.0000 0.0000 0.0000
La2 0.7500 0.2500 0.5000
Te1 0.1262 0.6250 0.0012
Te2 0.3750 0.3762 0.5012
Te3 0.6238 0.1250 0.9988
Te4 0.8750 0.8738 0.4988
F1 0.2500 0.7500 0.5000
F2 0.5000 0.5000 0.0000

Record 13
Entry from the Alexandria database: an optimized crystal structure of HfZrPd2 (PBE).

Results
- calculated total energy (eV/atom) = -7.823
- calculated volume (Å³/f.u.) = 74
- ΔH_f (0 K) (eV/atom) = -0.601

Cell lengths 4.7228, 4.7228, 4.7228 Å; angles 60.00, 60.00, 60.00 degrees
Sites, in units of the cell vectors:
Hf1 0.0000 0.0000 0.0000
Zr1 0.5000 0.5000 0.5000
Pd1 0.2500 0.2500 0.2500
Pd2 0.7500 0.7500 0.7500

Record 14
Entry from the Alexandria database: an optimized crystal structure of ScAlSe2 (PBE).

Results
- formation energy from raw total energies (eV per atom) = -0.71
- calculated total energy (eV/atom) = -4.970
- calculated volume (Å³/f.u.) = 87

Cell lengths 6.7486, 6.7486, 6.7486 Å; angles 147.80, 147.80, 46.18 degrees
Sites, in units of the cell vectors:
Sc1 0.0000 0.0000 0.0000
Al1 0.7500 0.2500 0.5000
Se1 0.2500 0.7500 0.5000
Se2 0.5000 0.5000 0.0000

Record 15
Entry from the Alexandria database: an optimized crystal structure of NaSrLiSi (PBE).

Results
- formation energy from raw total energies (eV per atom) = -0.08
- calculated total energy (eV/atom) = -2.669
- calculated volume (Å³/f.u.) = 91

Cell lengths 5.0477, 5.0477, 5.0477 Å; angles 60.00, 60.00, 60.00 degrees
Sites, in units of the cell vectors:
Na1 0.0000 0.0000 0.0000
Sr1 0.2500 0.2500 0.2500
Li1 0.5000 0.5000 0.5000
Si1 0.7500 0.7500 0.7500

Record 16
Entry from the Alexandria database: an optimized crystal structure of Ga2PdPt4 (PBE).

Results
- calculated total energy (eV/atom) = -5.443
- calculated volume (Å³/f.u.) = 116
- ΔH_f (0 K) (eV/atom) = -0.384

Cell lengths 3.9431, 5.4246, 5.4246 Å; angles 90.14, 90.00, 90.00 degrees
Sites, in units of the cell vectors:
Ga1 0.0000 0.0000 0.0000
Ga2 0.0000 0.4548 0.4548
Pd1 0.5000 0.6783 0.6783
Pt1 0.0000 0.4765 0.9875
Pt2 0.0000 0.9875 0.4765
Pt3 0.5000 0.1882 0.7644
Pt4 0.5000 0.7644 0.1882

Record 17
Entry from the Alexandria database: an optimized crystal structure of CaY3Ir (PBE).

Results
- calculated total energy (eV/atom) = -6.003
- calculated volume (Å³/f.u.) = 182
- ΔH_f (0 K) (eV/atom) = 0.048

Cell lengths 4.3714, 4.3714, 9.5398 Å; angles 90.00, 90.00, 90.00 degrees
Sites, in units of the cell vectors:
Ca1 0.0000 0.0000 0.0000
Y1 0.0000 0.0000 0.6009
Y2 0.0000 0.5000 0.3196
Y3 0.5000 0.0000 0.3196
Ir1 0.5000 0.5000 0.5115

Record 18
Entry from the Alexandria database: an optimized crystal structure of Li2Ca2Cd (PBE).

Results
- calculated total energy (eV/atom) = -1.875
- calculated volume (Å³/f.u.) = 141
- ΔH_f (0 K) (eV/atom) = -0.126

Cell lengths 6.2964, 6.2964, 11.4507 Å; angles 116.74, 116.74, 45.54 degrees
Sites, in units of the cell vectors:
Li1 0.0175 0.0175 0.3882
Li2 0.1468 0.1468 0.0460
Li3 0.8532 0.8532 0.9540
Li4 0.9825 0.9825 0.6118
Ca1 0.3028 0.3028 0.3829
Ca2 0.4935 0.4935 0.1730
Ca3 0.5065 0.5065 0.8270
Ca4 0.6972 0.6972 0.6171
Cd1 0.2263 0.2263 0.8437
Cd2 0.7737 0.7737 0.1563

Record 19
Entry from the Alexandria database: an optimized crystal structure of NaSnHPb2 (PBE).

Results
- calculated total energy (eV/atom) = -2.974
- calculated volume (Å³/f.u.) = 158

Cell lengths 5.6669, 5.6669, 4.9224 Å; angles 90.00, 90.00, 90.00 degrees
Sites, in units of the cell vectors:
Na1 0.0000 0.0000 0.0000
Sn1 0.5000 0.5000 0.0000
H1 0.5000 0.5000 0.5000
Pb1 0.0000 0.5000 0.5000
Pb2 0.5000 0.0000 0.5000

Record 20
Entry from the Alexandria database: an optimized crystal structure of Pr2Er5Tm6 (PBE).

Results
- calculated total energy (eV/atom) = -4.449
- calculated volume (Å³/f.u.) = 412
- ΔH_f (0 K) (eV/atom) = 0.105

Cell lengths 11.6142, 20.0240, 3.5474 Å; angles 90.00, 90.00, 90.00 degrees
Sites, in units of the cell vectors:
Pr1 0.1650 0.2173 0.0000
Pr2 0.3350 0.7173 0.0000
Pr3 0.6650 0.2827 0.0000
Pr4 0.8350 0.7827 0.0000
Er1 0.0000 0.5000 0.5000
Er2 0.0956 0.7792 0.5000
Er3 0.2000 0.0509 0.5000
Er4 0.3000 0.5509 0.5000
Er5 0.4044 0.2792 0.5000
Er6 0.5000 0.0000 0.5000
Er7 0.5956 0.7208 0.5000
Er8 0.7000 0.4491 0.5000
Er9 0.8000 0.9491 0.5000
Er10 0.9044 0.2208 0.5000
Tm1 0.0593 0.9228 0.0000
Tm2 0.0786 0.6351 0.0000
Tm3 0.1796 0.3760 0.5000
Tm4 0.3204 0.8760 0.5000
Tm5 0.4214 0.1351 0.0000
Tm6 0.4407 0.4228 0.0000
Tm7 0.5593 0.5772 0.0000
Tm8 0.5786 0.8649 0.0000
Tm9 0.6796 0.1240 0.5000
Tm10 0.8204 0.6240 0.5000
Tm11 0.9214 0.3649 0.0000
Tm12 0.9407 0.0772 0.0000

Record 21
Entry from the Alexandria database: an optimized crystal structure of Cr2SBr (PBE).

Results
- formation energy from raw total energies (eV per atom) = -0.12
- calculated total energy (eV/atom) = -6.387
- calculated volume (Å³/f.u.) = 101

Cell lengths 7.1106, 7.1106, 7.1106 Å; angles 130.81, 130.81, 72.11 degrees
Sites, in units of the cell vectors:
Cr1 0.0708 0.6250 0.9458
Cr2 0.3750 0.3208 0.4458
Cr3 0.6792 0.1250 0.0542
Cr4 0.8750 0.9292 0.5542
S1 0.0000 0.0000 0.0000
S2 0.7500 0.2500 0.5000
Br1 0.2500 0.7500 0.5000
Br2 0.5000 0.5000 0.0000

Record 22
Entry from the Alexandria database: an optimized crystal structure of Cr4AgPt (PBE).

Results
- calculated total energy (eV/atom) = -7.682
- calculated volume (Å³/f.u.) = 79
- ΔH_f (0 K) (eV/atom) = 0.216

Cell lengths 4.8212, 4.8212, 4.8212 Å; angles 60.00, 60.00, 60.00 degrees
Sites, in units of the cell vectors:
Cr1 0.3779 0.3779 0.3779
Cr2 0.3779 0.3779 0.8664
Cr3 0.3779 0.8664 0.3779
Cr4 0.8664 0.3779 0.3779
Ag1 0.7500 0.7500 0.7500
Pt1 0.0000 0.0000 0.0000

Record 23
Entry from the Alexandria database: an optimized crystal structure of HfScAg (PBE).

Results
- calculated total energy (eV/atom) = -6.476
- calculated volume (Å³/f.u.) = 64
- ΔH_f (0 K) (eV/atom) = -0.098

Cell lengths 5.0541, 3.2174, 7.9461 Å; angles 90.00, 98.59, 90.00 degrees
Sites, in units of the cell vectors:
Hf1 0.2382 0.2500 0.4530
Hf2 0.7618 0.7500 0.5470
Sc1 0.3317 0.7500 0.8000
Sc2 0.6683 0.2500 0.2000
Ag1 0.1456 0.7500 0.1366
Ag2 0.8544 0.2500 0.8634

Record 24
Entry from the Alexandria database: an optimized crystal structure of MnGa4Pd7 (PBE).

Results
- calculated total energy (eV/atom) = -5.150
- calculated volume (Å³/f.u.) = 199
- ΔH_f (0 K) (eV/atom) = -0.348

Cell lengths 6.2607, 6.2607, 9.0720 Å; angles 122.97, 122.97, 43.56 degrees
Sites, in units of the cell vectors:
Mn1 0.0000 0.0000 0.0000
Ga1 0.2862 0.2862 0.6644
Ga2 0.4217 0.4217 0.2161
Ga3 0.5783 0.5783 0.7839
Ga4 0.7138 0.7138 0.3356
Pd1 0.0741 0.0741 0.3344
Pd2 0.2153 0.2153 0.8764
Pd3 0.3523 0.3523 0.4290
Pd4 0.5000 0.5000 0.0000
Pd5 0.6477 0.6477 0.5710
Pd6 0.7847 0.7847 0.1236
Pd7 0.9259 0.9259 0.6656